(A)
PBE-GGA KBaF2, relaxed; SG = I-42d
1.0
-3.194 3.194 6.469
3.194 -3.194 6.469
3.194 3.194 -6.469
K Ba F
2 2 4
Direct
0.000 0.000 0.000
0.750 0.250 0.500
0.250 0.750 0.500
0.500 0.500 0.000
0.186 0.625 0.061
0.375 0.436 0.561
0.564 0.125 0.939
0.875 0.814 0.439


(B)
PBE-GGA KBaF2, relaxed; SG = Fm-3m
1.0
0.000 3.537 3.537
3.537 0.000 3.537
3.537 3.537 0.000
K Ba F
1 1 2
Direct
0.000 0.000 0.000
0.500 0.500 0.500
0.250 0.250 0.250
0.750 0.750 0.750


(A) is preferred energetically. Next in line: 408 meV per atom higher.